[1]
LiRe2Ir: optimized geometry, GGA-PBE.

extended XYZ file:
```
4
Lattice="4.125 0.000 0.000 0.000 3.694 0.000 0.000 0.000 3.694" Properties=species:S:1:pos:R:3 pbc="T T T"
Re 0.000 0.000 0.000
Ir 2.063 1.847 0.000
Li 2.063 0.000 1.847
Re 0.000 1.847 1.847
```

Output
- E_form (eV/atom) = 0.25
- DOS at the Fermi energy (states/eV/atom) = 0.8094

[2]
ReSi2Rh: optimized geometry, GGA-PBE.

extended XYZ file:
```
8
Lattice="5.530 0.000 0.000 0.000 5.530 0.000 2.765 2.765 5.081" Properties=species:S:1:pos:R:3 pbc="T T T"
Si 6.913 6.870 3.810
Si 1.425 4.148 1.270
Rh 2.765 2.765 0.000
Rh 2.765 5.530 2.540
Re 0.000 0.000 0.000
Si 4.105 1.383 1.270
Si 4.148 4.190 3.810
Re 5.530 2.765 2.540
```

Output
- uncorrected formation energy (eV/atom) = 0.429
- DOS at the Fermi energy (states/eV/atom) = 0.4047
- polymorph energy (0 for the lowest one) (eV/atom) = 0.876

[3]
Te3RuAu: optimized geometry, GGA-PBE.

extended XYZ file:
```
5
Lattice="5.179 0.000 0.000 0.000 5.179 0.000 0.000 0.000 5.179" Properties=species:S:1:pos:R:3 pbc="T T T"
Te 0.000 2.590 0.000
Au 2.590 2.590 2.590
Te 0.000 0.000 2.590
Ru 0.000 0.000 0.000
Te 2.590 0.000 0.000
```

Output
- uncorrected formation energy (eV/atom) = 0.641
- DOS at the Fermi energy (states/eV/atom) = 1.6295
- polymorph energy (0 for the lowest one) (eV/atom) = 0.000

[4]
SrMg14Nb: optimized geometry, GGA-PBE.

extended XYZ file:
```
16
Lattice="3.266 -5.656 0.000 3.266 5.656 0.000 0.000 0.000 10.339" Properties=species:S:1:pos:R:3 pbc="T T T"
Mg 1.617 0.934 2.776
Mg 4.865 -2.809 5.169
Mg 4.914 0.934 7.563
Sr 0.000 0.000 0.000
Mg 3.266 -0.039 5.169
Mg 3.266 0.085 0.000
Mg 3.266 3.789 2.776
Mg 4.914 0.934 2.776
Mg 3.266 -1.885 2.456
Mg 1.666 -2.809 5.169
Mg 1.617 0.934 7.563
Mg 4.825 2.786 0.000
Nb 0.000 0.000 5.169
Mg 3.266 3.789 7.563
Mg 3.266 -1.885 7.883
Mg 1.706 2.786 0.000
```

Output
- E_form (eV/atom) = 0.12
- DOS at the Fermi energy (states/eV/atom) = 0.6540
- polymorph energy (0 for the lowest one) (eV/atom) = 0.000

[5]
MgFeBr2: optimized geometry, GGA-PBE.

extended XYZ file:
```
4
Lattice="-0.716 2.961 -4.045 -4.426 2.371 -0.650 -0.287 5.024 0.560" Properties=species:S:1:pos:R:3 pbc="T T T"
Fe -2.714 5.179 -2.067
Mg -4.072 7.768 -3.101
Br -1.357 2.589 -1.034
Br 0.000 0.000 0.000
```

Output
- uncorrected formation energy (eV/atom) = 0.461
- DOS at the Fermi energy (states/eV/atom) = 1.9512
- polymorph energy (0 for the lowest one) (eV/atom) = 0.754

[6]
LaPr2Ru: optimized geometry, GGA-PBE.

extended XYZ file:
```
4
Lattice="-0.147 -4.928 -2.725 4.789 -2.396 -1.749 1.846 -4.347 1.939" Properties=species:S:1:pos:R:3 pbc="T T T"
La 3.244 -5.835 -1.267
Pr 4.852 -8.667 -2.055
Ru 0.000 0.000 0.000
Pr 1.635 -3.003 -0.479
```

Output
- E_form (eV/atom) = 0.17
- DOS at the Fermi energy (states/eV/atom) = 1.4657
- polymorph energy (0 for the lowest one) (eV/atom) = 0.373

[7]
CdC3S: optimized geometry, GGA-PBE.

extended XYZ file:
```
5
Lattice="-0.122 -3.373 -1.631 1.232 -1.577 3.169 -3.538 -0.433 1.160" Properties=species:S:1:pos:R:3 pbc="T T T"
C -0.061 -1.686 -0.815
C -1.769 -0.217 0.580
C 0.616 -0.789 1.585
Cd -1.214 -2.691 1.349
S 0.000 0.000 0.000
```

Output
- uncorrected formation energy (eV/atom) = 2.559
- DOS at the Fermi energy (states/eV/atom) = 0.6481
- polymorph energy (0 for the lowest one) (eV/atom) = 0.000

[8]
CdCu2As: optimized geometry, GGA-PBE.

extended XYZ file:
```
8
Lattice="-0.492 -3.997 -1.589 3.314 -1.372 2.425 -3.681 -4.431 6.387" Properties=species:S:1:pos:R:3 pbc="T T T"
Cu -0.599 -7.894 5.297
As 0.522 -4.244 4.615
As 1.411 -2.684 0.418
Cd 0.000 0.000 0.000
Cd -1.381 -5.556 2.608
Cu 1.044 -2.836 2.766
Cu -1.395 -5.464 5.328
Cu -0.768 -3.407 1.054
```

Output
- E_form (eV/atom) = 0.17
- DOS at the Fermi energy (states/eV/atom) = 0.4257
- polymorph energy (0 for the lowest one) (eV/atom) = 0.059

no.,VASP energy (eV per cell)
1,-34.68
2,-57.86
3,-18.77
4,-32.18
5,-11.56
6,-23.09
7,-19.92
8,-26.14